[1]
Here is a relaxed TbVGe2 crystal from Alexandria via LeMat-Bulk. Energies are from PBE.

Cell lengths 4.217, 4.217, 5.630 Å; angles 68.01, 68.01, 60.00 degrees
Site moments in Bohr magnetons follow the coordinates.
Fractional positions:
Ge  0.274  0.274  0.177  -0.04
Ge  0.726  0.726  0.823  -0.04
V  0.000  0.000  0.000  1.33
Tb  0.500  0.500  0.500  -0.06

Values from the calculation:
DFT total energy   -24.6 eV/cell
Energy of formation   -156 kJ/mol of formula units
SG   R-3m
Magnetic moment   1.34 μB/f.u.

***

[2]
Here is a relaxed Tb2YGe crystal from Alexandria via LeMat-Bulk. Energies are from PBE.

Cell lengths 3.763, 3.763, 9.982 Å; angles 79.14, 79.14, 60.00 degrees
Site moments in Bohr magnetons follow the coordinates.
Fractional positions:
Tb  0.267  0.267  0.198  0.07
Tb  0.066  0.066  0.802  0.14
Y  0.500  0.500  0.499  0.26
Ge  0.666  0.666  0.001  0.02

Values from the calculation:
DFT total energy   -21.3 eV/cell
Energy of formation   -95 kJ/mol of formula units
SG   R3m
Magnetic moment   0.94 μB/f.u.

***

[3]
Here is a relaxed TbY2Ge2 crystal from Alexandria via LeMat-Bulk. Energies are from PBE.

Cell lengths 4.404, 6.552, 9.638 Å; angles 77.96, 76.79, 70.36 degrees
Fractional positions:
Y  0.517  0.651  0.315
Ge  0.034  0.827  0.105
Y  0.316  0.283  0.085
Ge  0.119  0.328  0.435
Ge  0.966  0.173  0.895
Tb  0.784  0.078  0.354
Ge  0.881  0.672  0.565
Y  0.684  0.717  0.915
Y  0.483  0.349  0.685
Tb  0.216  0.922  0.646

Values from the calculation:
DFT total energy   -60.4 eV/cell
Energy of formation   -330 kJ/mol of formula units
SG   C2/m
Magnetic moment   0.00 μB/f.u.